Entry from Alexandria: a geometry-optimized In2NiHg structure (PBE).

abc: 3.151 3.151 8.536
angles: 90.00 90.00 90.00
Space group P4/mmm (No. 123)
Symmetry-distinct sites (fractional):
In1 0.000 0.000 0.190 (multiplicity 2)
Ni1 0.500 0.500 0.000 (multiplicity 1)
Hg1 0.500 0.500 0.500 (multiplicity 1)

Summary:
Its final energy is -2.8523 eV per atom. For the formation energy, the calculation gives 0.2 eV per formula unit.

Entry from Alexandria: a geometry-optimized SiPt3 structure (PBE).

abc: 8.7080 8.7080 2.8015
angles: 90.00 90.00 120.00
Space group R-3m (No. 166, hexagonal axes)
Symmetry-distinct sites (fractional):
Si1 0.0000 0.0000 0.0000 (multiplicity 3)
Pt1 0.0000 0.5000 0.0000 (multiplicity 9)

Summary:
Its final energy is -6.0303 eV per atom. The formation energy without anion corrections is -144 meV/atom.

Entry from Alexandria: a geometry-optimized Pr3Sn2Pd9 structure (PBE).

abc: 3.975 11.088 12.917
angles: 90.00 90.00 90.00
Space group Immm (No. 71)
Symmetry-distinct sites (fractional):
Pr1 0.000 0.000 0.000 (multiplicity 2)
Pr2 0.000 0.000 0.294 (multiplicity 4)
Sn1 0.000 0.190 0.500 (multiplicity 4)
Pd1 0.000 0.297 0.155 (multiplicity 8)
Pd2 0.000 0.378 0.359 (multiplicity 8)
Pd3 0.000 0.500 0.000 (multiplicity 2)

Summary:
Its final energy is -5.5936 eV per atom. For the formation energy, the calculation gives -9.2 eV per formula unit.

Entry from Alexandria: a geometry-optimized Ba4Na2Cd structure (PBE).

abc: 10.943 6.318 10.864
angles: 90.00 109.29 90.00
Space group C2/m (No. 12)
Symmetry-distinct sites (fractional):
Ba1 0.121 0.000 0.365 (multiplicity 4)
Ba2 0.128 0.500 0.885 (multiplicity 4)
Na1 0.249 0.500 0.248 (multiplicity 4)
Cd1 0.000 0.000 0.000 (multiplicity 2)

Summary:
Its final energy is -1.6031 eV per atom. For the energy above the most stable polymorph in this dataset, the calculation gives 0 meV/atom. For the formation energy, the calculation gives 0.0 eV per formula unit.